First-principles (SCAN) data for a PBEsol-optimized structure of PdPt2F, as listed in the Alexandria database.

Calculated values
For the total magnetization, the calculation gives 0.60 μB per atom. The uncorrected formation energy is 0.189 eV/atom. As for the space group: Fm-3m (225).

Cell lengths 4.278, 4.278, 4.278 Å; angles 60.00, 60.00, 60.00 degrees
Element x y z (fractional)
Pd 0.500 0.500 0.500
Pt 0.250 0.250 0.250
Pt 0.750 0.750 0.750
F 0.000 0.000 0.000